No. 1
GdCr2Fe10: relaxed, PBE.

Cell lengths 6.3893, 6.3893, 6.3893 Å; angles 137.20, 98.17, 97.13 degrees
Closest atoms and distances in Å follow each position.
Sites, in units of the cell vectors:
1 Gd 0.0000 0.0000 0.0000  18 Fe 3.00-3.19, 2 Cr 3.11
2 Cr 0.3681 0.3681 0.0000  1 Cr 2.23
3 Cr 0.6319 0.6319 0.0000  1 Cr 2.23
4 Fe 0.7737 0.5000 0.2737  6 Fe 2.42-2.58, 2 Cr 2.55
5 Fe 0.2263 0.5000 0.7263  6 Fe 2.42-2.58, 2 Cr 2.55
6 Fe 0.7692 0.2692 0.5000  6 Fe 2.40-2.56, 2 Cr 2.60
7 Fe 0.2308 0.7308 0.5000  6 Fe 2.40-2.56, 2 Cr 2.60
8 Fe 0.0000 0.5000 0.0000  8 Fe 2.33-2.58, 2 Cr 2.59
9 Fe 0.0000 0.0000 0.5000  8 Fe 2.33-2.58, 2 Cr 2.59
10 Fe 0.5000 0.0000 0.0000  8 Fe 2.33-2.58, 2 Cr 2.59
11 Fe 0.5000 0.5000 0.5000  8 Fe 2.33-2.58, 2 Cr 2.59
12 Fe 0.3589 0.0000 0.3589  9 Fe 2.36-2.58
13 Fe 0.6411 0.0000 0.6411  9 Fe 2.36-2.58

Computed properties:
- Total DFT energy (no corrections): -9.0499 eV per atom
- Formation energy from the elements: 23.5 meV per atom



No. 2
Cr3FeGe: relaxed, PBE.

Cell lengths 4.2567, 4.2567, 4.2567 Å; angles 90.00, 90.00, 90.00 degrees
Closest atoms and distances in Å follow each position.
Sites, in units of the cell vectors:
1 Cr 0.0000 0.5000 0.0000  2 Fe 2.13
2 Cr 0.0000 0.0000 0.5000  2 Fe 2.13
3 Cr 0.5000 0.0000 0.0000  2 Fe 2.13
4 Ge 0.5000 0.5000 0.5000  12 Cr 3.01
5 Fe 0.0000 0.0000 0.0000  6 Cr 2.13

Computed properties:
- Total DFT energy (no corrections): -7.3995 eV per atom
- Distance to the lowest polymorph of the same formula: 0.000 eV per atom
- Formation energy from the elements: 990.5 meV per atom



No. 3
CrFeGe3: relaxed, PBE.

Cell lengths 4.5714, 4.5714, 4.5714 Å; angles 90.00, 90.00, 90.00 degrees
Closest atoms and distances in Å follow each position.
Sites, in units of the cell vectors:
1 Cr 0.5000 0.5000 0.5000  12 Ge 3.23
2 Ge 0.0000 0.5000 0.0000  2 Fe 2.29
3 Ge 0.0000 0.0000 0.5000  2 Fe 2.29
4 Ge 0.5000 0.0000 0.0000  2 Fe 2.29
5 Fe 0.0000 0.0000 0.0000  6 Ge 2.29

Computed properties:
- Total DFT energy (no corrections): -5.8681 eV per atom
- Distance to the lowest polymorph of the same formula: 0.000 eV per atom
- Formation energy from the elements: 519.5 meV per atom



No. 4
CrFe4Ge2: relaxed, PBE.

Cell lengths 4.0371, 4.0371, 6.7760 Å; angles 72.67, 72.67, 60.00 degrees
Closest atoms and distances in Å follow each position.
Sites, in units of the cell vectors:
1 Cr 0.0000 0.0000 0.0000  8 Fe 2.49-2.50, 6 Ge 2.78
2 Ge 0.7456 0.7456 0.7632  8 Fe 2.37-2.53
3 Ge 0.2544 0.2544 0.2368  8 Fe 2.37-2.53
4 Fe 0.8697 0.8697 0.3908  4 Ge 2.37-2.53, 1 Cr 2.49
5 Fe 0.1303 0.1303 0.6092  4 Ge 2.37-2.53, 1 Cr 2.49
6 Fe 0.6193 0.6193 0.1420  4 Ge 2.41, 3 Cr 2.50
7 Fe 0.3807 0.3807 0.8580  4 Ge 2.41, 3 Cr 2.50

Computed properties:
- Total DFT energy (no corrections): -7.4295 eV per atom
- Formation energy from the elements: 100.4 meV per atom



No. 5
Cr2Fe2Ge: relaxed, PBE.

Cell lengths 6.7579, 6.7579, 2.6332 Å; angles 90.00, 90.00, 90.00 degrees
Closest atoms and distances in Å follow each position.
Sites, in units of the cell vectors:
1 Cr 0.1609 0.6609 0.5000  6 Fe 2.37-2.39, 2 Cr 2.63
2 Cr 0.6609 0.8391 0.5000  6 Fe 2.37-2.39, 2 Cr 2.63
3 Cr 0.8391 0.3391 0.5000  6 Fe 2.37-2.39, 2 Cr 2.63
4 Cr 0.3391 0.1609 0.5000  6 Fe 2.37-2.39, 2 Cr 2.63
5 Ge 0.0000 0.0000 0.0000  2 Ge 2.63, 4 Fe 2.65, 8 Cr 2.86
6 Ge 0.5000 0.5000 0.0000  2 Ge 2.63, 4 Fe 2.65, 8 Cr 2.86
7 Fe 0.3702 0.8702 0.0000  6 Cr 2.37-2.39, 3 Fe 2.48-2.63, 2 Ge 2.65
8 Fe 0.8702 0.6298 0.0000  6 Cr 2.37-2.39, 3 Fe 2.48-2.63, 2 Ge 2.65
9 Fe 0.6298 0.1298 0.0000  6 Cr 2.37-2.39, 3 Fe 2.48-2.63, 2 Ge 2.65
10 Fe 0.1298 0.3702 0.0000  6 Cr 2.37-2.39, 3 Fe 2.48-2.63, 2 Ge 2.65

Computed properties:
- Total DFT energy (no corrections): -7.9413 eV per atom
- Formation energy from the elements: 216.6 meV per atom



No. 6
CrFe2Ge2: relaxed, PBE.

Cell lengths 6.7152, 6.7152, 2.9610 Å; angles 90.00, 90.00, 90.00 degrees
Closest atoms and distances in Å follow each position.
Sites, in units of the cell vectors:
1 Cr 0.0000 0.0000 0.0000  4 Ge 2.56
2 Cr 0.5000 0.5000 0.0000  4 Ge 2.56
3 Ge 0.3504 0.8504 0.0000  6 Fe 2.45-2.47, 2 Cr 2.56
4 Ge 0.8504 0.6496 0.0000  6 Fe 2.45-2.47, 2 Cr 2.56
5 Ge 0.6496 0.1496 0.0000  6 Fe 2.45-2.47, 2 Cr 2.56
6 Ge 0.1496 0.3504 0.0000  6 Fe 2.45-2.47, 2 Cr 2.56
7 Fe 0.1454 0.6454 0.5000  6 Ge 2.45-2.47
8 Fe 0.6454 0.8546 0.5000  6 Ge 2.45-2.47
9 Fe 0.8546 0.3546 0.5000  6 Ge 2.45-2.47
10 Fe 0.3546 0.1454 0.5000  6 Ge 2.45-2.47

Computed properties:
- Total DFT energy (no corrections): -7.0550 eV per atom
- Formation energy from the elements: 101.7 meV per atom



No. 7
Cr2Fe5Ge: relaxed, PBE.

Cell lengths 2.5268, 7.6695, 6.1382 Å; angles 128.66, 101.88, 90.00 degrees
Closest atoms and distances in Å follow each position.
Sites, in units of the cell vectors:
1 Cr 0.2523 0.7523 0.5046  7 Fe 2.33-2.45, 2 Cr 2.53
2 Cr 0.7477 0.2477 0.4954  7 Fe 2.33-2.45, 2 Cr 2.53
3 Fe 0.0000 0.5000 0.0000  2 Cr 2.33, 10 Fe 2.48-2.53
4 Fe 0.3702 0.5999 0.7404  3 Cr 2.34-2.45, 7 Fe 2.40-2.58
5 Fe 0.6298 0.4001 0.2596  3 Cr 2.34-2.45, 7 Fe 2.40-2.58
6 Fe 0.6298 0.8595 0.2596  3 Cr 2.34-2.45, 7 Fe 2.40-2.58
7 Fe 0.3702 0.1405 0.7404  3 Cr 2.34-2.45, 7 Fe 2.40-2.58
8 Ge 0.0000 0.0000 0.0000  2 Ge 2.53, 4 Cr 2.62, 8 Fe 2.71

Computed properties:
- Total DFT energy (no corrections): -8.0792 eV per atom
- Formation energy from the elements: 193.0 meV per atom



No. 8
Cr3FeGe: relaxed, PBE.

Cell lengths 4.5541, 4.5541, 4.5541 Å; angles 90.00, 90.00, 90.00 degrees
Closest atoms and distances in Å follow each position.
Sites, in units of the cell vectors:
1 Cr 0.0000 0.5000 0.0000  2 Ge 2.28
2 Cr 0.0000 0.0000 0.5000  2 Ge 2.28
3 Cr 0.5000 0.0000 0.0000  2 Ge 2.28
4 Ge 0.0000 0.0000 0.0000  6 Cr 2.28
5 Fe 0.5000 0.5000 0.5000  12 Cr 3.22

Computed properties:
- Total DFT energy (no corrections): -6.7503 eV per atom
- Distance to the lowest polymorph of the same formula: 0.649 eV per atom
- Formation energy from the elements: 1639.8 meV per atom



Number 6 is which compound? CrFe2Ge2



Number 3 is which compound? CrFeGe3



Which formula does entry 2 have? Cr3FeGe